VASP calculation (PBE) on an optimized crystal structure of Al2NiPt.

a b c (Å): 5.438 5.438 5.438
angles (deg): 104.32 104.32 120.36
Positions (direct):
Al  0.111  0.125  0.486
Al  0.375  0.889  0.014
Al  0.639  0.625  0.514
Al  0.875  0.361  0.986
Ni  0.000  0.000  0.000
Ni  0.750  0.250  0.500
Pt  0.250  0.750  0.500
Pt  0.500  0.500  0.000

The space group is I-42d.

VASP calculation (PBE) on an optimized crystal structure of AlNi3Pt.

a b c (Å): 4.581 4.581 4.581
angles (deg): 90.00 90.00 90.00
Positions (direct):
Al  0.000  0.000  0.000
Ni  0.000  0.500  0.500
Ni  0.500  0.000  0.500
Ni  0.500  0.500  0.000
Pt  0.500  0.500  0.500

The space group is Pm-3m.

VASP calculation (PBE) on an optimized crystal structure of Al2NiPt6.

a b c (Å): 8.172 6.259 5.949
angles (deg): 84.00 49.62 46.39
Positions (direct):
Al  0.156  0.156  0.844
Al  0.844  0.844  0.156
Ni  0.500  0.500  0.500
Pt  0.160  0.840  0.160
Pt  0.179  0.484  0.516
Pt  0.484  0.179  0.821
Pt  0.516  0.821  0.179
Pt  0.821  0.516  0.484
Pt  0.840  0.160  0.840

The space group is Fmmm.

VASP calculation (PBE) on an optimized crystal structure of Al3NiPt.

a b c (Å): 4.691 4.691 4.691
angles (deg): 90.00 90.00 90.00
Positions (direct):
Al  0.000  0.000  0.500
Al  0.000  0.500  0.000
Al  0.500  0.000  0.000
Ni  0.500  0.500  0.500
Pt  0.000  0.000  0.000

The space group is Pm-3m.

VASP calculation (PBE) on an optimized crystal structure of Pu2Al4NiPt3.

a b c (Å): 4.228 4.228 10.335
angles (deg): 90.00 90.00 90.00
Positions (direct):
Pu  0.000  0.500  0.242
Pu  0.500  0.000  0.758
Al  0.000  0.000  0.500
Al  0.000  0.500  0.879
Al  0.500  0.000  0.121
Al  0.500  0.500  0.500
Ni  0.500  0.500  0.000
Pt  0.000  0.000  0.000
Pt  0.000  0.500  0.637
Pt  0.500  0.000  0.363

The space group is P-4m2.

VASP calculation (PBE) on an optimized crystal structure of Al2ReNiPt.

a b c (Å): 4.576 4.576 4.968
angles (deg): 90.00 90.00 90.00
Positions (direct):
Al  0.000  0.500  0.000
Al  0.500  0.000  0.000
Re  0.000  0.000  0.500
Ni  0.500  0.500  0.500
Pt  0.000  0.000  0.000

The space group is P4/mmm.

VASP calculation (PBE) on an optimized crystal structure of Al4NiPtRh2.

a b c (Å): 7.361 7.361 7.361
angles (deg): 33.56 33.56 33.56
Positions (direct):
Al  0.121  0.121  0.121
Al  0.372  0.372  0.372
Al  0.628  0.628  0.628
Al  0.879  0.879  0.879
Ni  0.000  0.000  0.000
Pt  0.500  0.500  0.500
Rh  0.249  0.249  0.249
Rh  0.751  0.751  0.751

The space group is R-3m.

VASP calculation (PBE) on an optimized crystal structure of AlNiPtRh.

a b c (Å): 4.251 4.251 4.251
angles (deg): 60.00 60.00 60.00
Positions (direct):
Al  0.000  0.000  0.000
Ni  0.500  0.500  0.500
Pt  0.750  0.750  0.750
Rh  0.250  0.250  0.250

The space group is F-43m.

Number 1: energy of formation from the pure elements -32.4 kJ/mol of atoms, size of the total moment 0.0 μB per formula unit, Fermi-level density of states 2.8 states/eV per cell. Number 2: energy of formation from the pure elements 99.6 kJ/mol of atoms, size of the total moment 2.6 μB per formula unit, Fermi-level density of states 7.5 states/eV per cell. Number 3: energy of formation from the pure elements -60.6 kJ/mol of atoms, size of the total moment 0.0 μB per formula unit, Fermi-level density of states 6.7 states/eV per cell. Number 4: energy of formation from the pure elements 14.9 kJ/mol of atoms, size of the total moment 0.2 μB per formula unit, Fermi-level density of states 3.4 states/eV per cell. Number 5: energy of formation from the pure elements -77.1 kJ/mol of atoms, size of the total moment 11.5 μB per formula unit, Fermi-level density of states 28.9 states/eV per cell. Number 6: energy of formation from the pure elements 101.1 kJ/mol of atoms, size of the total moment 2.4 μB per formula unit, Fermi-level density of states 5.1 states/eV per cell. Number 7: energy of formation from the pure elements -88.6 kJ/mol of atoms, size of the total moment 0.0 μB per formula unit, Fermi-level density of states 4.5 states/eV per cell. Number 8: energy of formation from the pure elements -55.3 kJ/mol of atoms, size of the total moment 1.0 μB per formula unit, Fermi-level density of states 5.4 states/eV per cell.